# CsMoO

CsMoO after structural relaxation (PBE+U, the Alexandria database).

a = 3.5870 Å, b = 3.5873 Å, c = 13.4202 Å
α = 90.80°, β = 94.66°, γ = 90.00°
With the nearest neighbours (Å) after each atom.
Positions (direct):
Mo 0.7637 0.2524 0.5451  1 O 1.83
Cs 0.6642 0.2352 0.2182  4 O 2.87
O 0.1945 0.7405 0.3179  1 Mo 1.83
Cs 0.3358 0.7648 0.7818  4 O 2.87
Mo 0.2363 0.7476 0.4549  1 O 1.83
O 0.8055 0.2595 0.6821  1 Mo 1.83

Values from the calculation:
SG ... No. 2
Total moment ... 0.1 μB per cell
Distance to the lowest polymorph of the same formula ... 44 meV per atom
Fermi-level density of states ... 2.86 states/eV per cell